No. 1
{"formula": "KP2Ir", "functional": "PBE", "state": "optimized geometry", "e_above_lowest_polymorph_ev_per_atom": 0.000, "delta_e_f_ev_per_atom": -0.375, "lattice_angstrom": [[3.528, -1.948, 0.000], [3.528, 1.948, 0.000], [-2.124, 0.000, 6.142]], "species": ["K", "P", "P", "Ir"], "frac_coords": [[0.000, 0.000, 0.000], [0.213, 0.213, 0.623], [0.787, 0.787, 0.377], [0.500, 0.500, 0.500]]}

=====

No. 2
{"formula": "KP2Ir", "functional": "PBE", "state": "optimized geometry", "e_above_lowest_polymorph_ev_per_atom": 0.246, "delta_e_f_ev_per_atom": -0.129, "lattice_angstrom": [[-2.029, 3.292, 3.742], [2.029, -3.292, 3.742], [2.029, 3.292, -3.742]], "species": ["K", "P", "P", "Ir"], "frac_coords": [[0.000, 0.000, 0.000], [0.351, 0.851, 0.500], [0.649, 0.149, 0.500], [0.500, 0.500, 0.000]]}

=====

No. 3
{"formula": "K4PIr", "functional": "PBE", "state": "optimized geometry", "delta_e_f_ev_per_atom": 0.987, "lattice_angstrom": [[0.000, 4.418, 4.418], [4.418, 0.000, 4.418], [4.418, 4.418, 0.000]], "species": ["K", "K", "K", "K", "P", "Ir"], "frac_coords": [[0.125, 0.125, 0.125], [0.125, 0.125, 0.626], [0.125, 0.626, 0.125], [0.626, 0.125, 0.125], [0.750, 0.750, 0.750], [0.500, 0.500, 0.500]]}

=====

No. 4
{"formula": "KP2Ir", "functional": "PBE", "state": "optimized geometry", "e_above_lowest_polymorph_ev_per_atom": 0.205, "delta_e_f_ev_per_atom": -0.170, "lattice_angstrom": [[2.908, 0.000, 0.000], [0.000, 4.039, 0.000], [0.000, 0.000, 6.677]], "species": ["K", "P", "P", "Ir"], "frac_coords": [[0.000, 0.000, 0.000], [0.500, 0.500, 0.319], [0.500, 0.500, 0.681], [0.500, 0.000, 0.500]]}

=====

No. 5
{"formula": "KP2Ir", "functional": "PBE", "state": "optimized geometry", "e_above_lowest_polymorph_ev_per_atom": 0.260, "delta_e_f_ev_per_atom": -0.115, "lattice_angstrom": [[4.554, 0.000, 0.000], [0.000, 3.536, 0.000], [-1.242, 0.000, 5.947]], "species": ["K", "P", "P", "Ir"], "frac_coords": [[0.000, 0.000, 0.000], [0.423, 0.500, 0.614], [0.606, 0.000, 0.385], [0.916, 0.500, 0.506]]}

=====

No. 6
{"formula": "KPIrPt", "functional": "PBE", "state": "optimized geometry", "delta_e_f_ev_per_atom": -0.346, "lattice_angstrom": [[3.864, 0.000, 0.000], [0.000, 3.864, 0.000], [0.000, 0.000, 12.258]], "species": ["K", "K", "P", "P", "Ir", "Ir", "Pt", "Pt"], "frac_coords": [[0.250, 0.250, 0.221], [0.750, 0.750, 0.779], [0.250, 0.250, 0.608], [0.750, 0.750, 0.392], [0.250, 0.750, 0.500], [0.750, 0.250, 0.500], [0.250, 0.750, 0.000], [0.750, 0.250, 0.000]]}

=====

No. 7
{"formula": "KP2IrRh", "functional": "PBE", "state": "optimized geometry", "delta_e_f_ev_per_atom": -0.701, "lattice_angstrom": [[-1.975, 1.975, 6.592], [1.975, -1.975, 6.592], [1.975, 1.975, -6.592]], "species": ["K", "P", "P", "Ir", "Rh"], "frac_coords": [[0.000, 0.000, 0.000], [0.347, 0.347, 0.000], [0.653, 0.653, 0.000], [0.250, 0.750, 0.500], [0.750, 0.250, 0.500]]}

=====

No. 8
{"formula": "KPIr2Rh", "functional": "PBE", "state": "optimized geometry", "delta_e_f_ev_per_atom": 1.147, "lattice_angstrom": [[5.059, 0.000, 0.000], [0.000, 5.059, 0.000], [0.000, 0.000, 4.389]], "species": ["K", "P", "Ir", "Ir", "Rh"], "frac_coords": [[0.000, 0.000, 0.000], [0.500, 0.500, 0.000], [0.000, 0.500, 0.500], [0.500, 0.000, 0.500], [0.500, 0.500, 0.500]]}

=====

No. 9
{"formula": "KPIrS2", "functional": "PBE", "state": "optimized geometry", "e_above_lowest_polymorph_ev_per_atom": 0.000, "e_form_raw_ev_per_atom": 0.0435, "lattice_angstrom": [[5.051, 0.000, 0.000], [0.000, 5.051, 0.000], [0.000, 0.000, 4.424]], "species": ["K", "P", "Ir", "S", "S"], "frac_coords": [[0.000, 0.000, 0.000], [0.500, 0.500, 0.000], [0.500, 0.500, 0.500], [0.000, 0.500, 0.500], [0.500, 0.000, 0.500]]}

=====

No. 10
{"formula": "KP2IrS8", "functional": "PBE", "state": "optimized geometry", "e_form_raw_ev_per_atom": -0.2781, "lattice_angstrom": [[5.824, 0.000, 0.000], [-2.912, 5.044, 0.000], [0.000, 0.000, 9.683]], "species": ["K", "P", "P", "Ir", "S", "S", "S", "S", "S", "S", "S", "S"], "frac_coords": [[0.000, 0.000, 0.000], [0.333, 0.667, 0.703], [0.667, 0.333, 0.297], [0.000, 0.000, 0.500], [0.017, 0.676, 0.358], [0.324, 0.341, 0.358], [0.333, 0.667, 0.909], [0.341, 0.017, 0.642], [0.659, 0.983, 0.358], [0.667, 0.333, 0.091], [0.676, 0.659, 0.642], [0.983, 0.324, 0.642]]}

=====

No. 11
{"formula": "KPIrS2", "functional": "PBE", "state": "optimized geometry", "e_above_lowest_polymorph_ev_per_atom": 2.357, "e_form_raw_ev_per_atom": 2.4008, "lattice_angstrom": [[5.186, 0.000, 0.000], [0.000, 5.186, 0.000], [0.000, 0.000, 5.155]], "species": ["K", "P", "Ir", "S", "S"], "frac_coords": [[0.000, 0.000, 0.000], [0.000, 0.000, 0.500], [0.500, 0.500, 0.500], [0.000, 0.500, 0.000], [0.500, 0.000, 0.000]]}

=====

No. 12
{"formula": "KP2IrSe8", "functional": "PBE", "state": "optimized geometry", "e_form_raw_ev_per_atom": -0.1973, "lattice_angstrom": [[6.018, 0.000, 0.000], [-3.009, 5.211, 0.000], [0.000, 0.000, 10.434]], "species": ["K", "P", "P", "Ir", "Se", "Se", "Se", "Se", "Se", "Se", "Se", "Se"], "frac_coords": [[0.000, 0.000, 0.000], [0.333, 0.667, 0.709], [0.667, 0.333, 0.291], [0.000, 0.000, 0.500], [0.043, 0.693, 0.355], [0.307, 0.350, 0.355], [0.333, 0.667, 0.916], [0.350, 0.043, 0.645], [0.650, 0.957, 0.355], [0.667, 0.333, 0.084], [0.693, 0.650, 0.645], [0.957, 0.307, 0.645]]}

=====

What did the ninth record say?
{"formula": "KPIrS2", "functional": "PBE", "state": "optimized geometry", "e_above_lowest_polymorph_ev_per_atom": 0.000, "e_form_raw_ev_per_atom": 0.0435, "lattice_angstrom": [[5.051, 0.000, 0.000], [0.000, 5.051, 0.000], [0.000, 0.000, 4.424]], "species": ["K", "P", "Ir", "S", "S"], "frac_coords": [[0.000, 0.000, 0.000], [0.500, 0.500, 0.000], [0.500, 0.500, 0.500], [0.000, 0.500, 0.500], [0.500, 0.000, 0.500]]}